[1]
Entry from the Alexandria database: an optimized crystal structure of TcMoP (PBE).

Geometry as CIF:
```
data_TcMoP
_chemical_formula_sum 'Tc2 Mo2 P2'
_cell_length_a 2.929
_cell_length_b 2.929
_cell_length_c 9.647
_cell_angle_alpha 90.00
_cell_angle_beta 90.00
_cell_angle_gamma 90.00
_symmetry_space_group_name_H-M 'I 4 m m'
_symmetry_Int_Tables_number 107
_symmetry_space_group_name_Hall 'I 4 -2'
loop_
_atom_site_label
_atom_site_fract_x
_atom_site_fract_y
_atom_site_fract_z
Tc1 0.000 0.000 0.000
Mo1 0.000 0.000 0.302
P1 0.000 0.000 0.637
```

Results
**Energy of formation**: -0.3101 eV per atom
**Offset from the most stable computed form**: 0.075 eV/atom

=====

[2]
Entry from the Alexandria database: an optimized crystal structure of ZrBRh3 (PBE).

Geometry as CIF:
```
data_ZrBRh3
_chemical_formula_sum 'Zr4 B4 Rh12'
_cell_length_a 6.398
_cell_length_b 12.615
_cell_length_c 5.035
_cell_angle_alpha 90.00
_cell_angle_beta 90.00
_cell_angle_gamma 90.00
_symmetry_space_group_name_H-M 'C m c m'
_symmetry_Int_Tables_number 63
_symmetry_space_group_name_Hall '-C 2c 2'
loop_
_atom_site_label
_atom_site_fract_x
_atom_site_fract_y
_atom_site_fract_z
Zr1 0.000 0.184 0.250
B1 0.000 0.383 0.250
Rh1 0.000 0.000 0.000
Rh2 0.214 0.159 0.750
```

Results
**Energy of formation**: 0.2911 eV per atom

=====

[3]
Entry from the Alexandria database: an optimized crystal structure of CaMg2CoBi (PBE).

Geometry as CIF:
```
data_CaMg2CoBi
_chemical_formula_sum 'Ca1 Mg2 Co1 Bi1'
_cell_length_a 5.480
_cell_length_b 5.480
_cell_length_c 5.978
_cell_angle_alpha 90.00
_cell_angle_beta 90.00
_cell_angle_gamma 90.00
_symmetry_space_group_name_H-M 'P 4/m m m'
_symmetry_Int_Tables_number 123
_symmetry_space_group_name_Hall '-P 4 2'
loop_
_atom_site_label
_atom_site_fract_x
_atom_site_fract_y
_atom_site_fract_z
Ca1 0.000 0.000 0.000
Mg1 0.000 0.500 0.500
Co1 0.500 0.500 0.000
Bi1 0.000 0.000 0.500
```

Results
**Energy of formation**: 0.7832 eV per atom